Computed, not measured: crystalline Er2FeW2 at its relaxed geometry at the PBE-GGA level of DFT.

a = 7.5447 Å, b = 7.5447 Å, c = 7.5447 Å
α = 126.26°, β = 66.71°, γ = 143.51°
Last column: nearest neighbours and their distance in Å.
Atoms (fractional coordinates):
Er (0.3462, 0.0829, 0.9377)  2 Fe 2.88, 4 W 2.98-3.09
Er (0.6452, 0.5829, 0.7367)  2 Fe 2.88, 4 W 2.98-3.09
Er (0.8462, 0.9085, 0.2633)  2 Fe 2.88, 4 W 2.98-3.09
Er (0.1452, 0.4085, 0.0623)  2 Fe 2.88, 4 W 2.98-3.09
W (0.0799, 0.8447, 0.4333)  2 Fe 2.49, 2 W 2.72
W (0.9114, 0.3447, 0.7648)  2 Fe 2.49, 2 W 2.72
W (0.4114, 0.6465, 0.5667)  2 Fe 2.49, 2 W 2.72
W (0.5799, 0.1465, 0.2352)  2 Fe 2.49, 2 W 2.72
Fe (0.4960, 0.9960, 0.5000)  2 Fe 2.36, 4 W 2.49
Fe (0.9960, 0.4960, 0.5000)  2 Fe 2.36, 4 W 2.49

Output
energy relative to the elements = 0.51 eV/atom

***

Computed, not measured: crystalline YEr2Fe9 at its relaxed geometry at the PBE-GGA level of DFT.

a = 8.5131 Å, b = 8.5131 Å, c = 8.5131 Å
α = 34.37°, β = 34.37°, γ = 34.37°
Last column: nearest neighbours and their distance in Å.
Atoms (fractional coordinates):
Fe (0.0817, 0.5821, 0.5821)  7 Fe 2.43-2.52
Fe (0.5000, 0.5000, 0.5000)  6 Fe 2.50
Fe (0.4179, 0.4179, 0.9183)  7 Fe 2.43-2.52
Fe (0.6673, 0.6673, 0.6673)  6 Fe 2.43-2.46
Fe (0.5821, 0.5821, 0.0817)  7 Fe 2.43-2.52
Fe (0.3327, 0.3327, 0.3327)  6 Fe 2.43-2.46
Fe (0.5821, 0.0817, 0.5821)  7 Fe 2.43-2.52
Fe (0.9183, 0.4179, 0.4179)  7 Fe 2.43-2.52
Fe (0.4179, 0.9183, 0.4179)  7 Fe 2.43-2.52
Er (0.8579, 0.8579, 0.8579)  12 Fe 2.90-3.00, 3 Er 3.14
Er (0.1421, 0.1421, 0.1421)  12 Fe 2.90-3.00, 3 Er 3.14
Y (0.0000, 0.0000, 0.0000)  18 Fe 2.90-3.19

Output
energy relative to the elements = -0.09 eV/atom

***

Computed, not measured: crystalline Y2ErFe9 at its relaxed geometry at the PBE-GGA level of DFT.

a = 8.5524 Å, b = 8.5524 Å, c = 8.5524 Å
α = 34.32°, β = 34.32°, γ = 34.32°
Last column: nearest neighbours and their distance in Å.
Atoms (fractional coordinates):
Er (0.0000, 0.0000, 0.0000)  18 Fe 2.91-3.19
Fe (0.0817, 0.5805, 0.5805)  7 Fe 2.42-2.53
Fe (0.5805, 0.5805, 0.0817)  7 Fe 2.42-2.53
Fe (0.6673, 0.6673, 0.6673)  6 Fe 2.42-2.45
Fe (0.4195, 0.4195, 0.9183)  7 Fe 2.42-2.53
Fe (0.9183, 0.4195, 0.4195)  7 Fe 2.42-2.53
Fe (0.4195, 0.9183, 0.4195)  7 Fe 2.42-2.53
Fe (0.5805, 0.0817, 0.5805)  7 Fe 2.42-2.53
Fe (0.5000, 0.5000, 0.5000)  6 Fe 2.53
Fe (0.3327, 0.3327, 0.3327)  6 Fe 2.42-2.45
Y (0.8583, 0.8583, 0.8583)  12 Fe 2.92-3.04, 3 Y 3.15
Y (0.1417, 0.1417, 0.1417)  12 Fe 2.92-3.04, 3 Y 3.15

Output
energy relative to the elements = -0.07 eV/atom

***

Computed, not measured: crystalline ErZnFe at its relaxed geometry at the PBE-GGA level of DFT.

a = 4.4731 Å, b = 4.4731 Å, c = 4.4731 Å
α = 60.00°, β = 60.00°, γ = 60.00°
Last column: nearest neighbours and their distance in Å.
Atoms (fractional coordinates):
Zn (0.7500, 0.7500, 0.7500)  4 Er 2.74
Er (0.0000, 0.0000, 0.0000)  4 Zn 2.74, 4 Fe 2.74
Fe (0.2500, 0.2500, 0.2500)  4 Er 2.74

Output
energy relative to the elements = 0.79 eV/atom

***

Computed, not measured: crystalline ErZnFe at its relaxed geometry at the PBE-GGA level of DFT.

a = 4.3778 Å, b = 4.3778 Å, c = 4.3778 Å
α = 60.00°, β = 60.00°, γ = 60.00°
Last column: nearest neighbours and their distance in Å.
Atoms (fractional coordinates):
Fe (0.0000, 0.0000, 0.0000)  4 Er 2.68, 4 Zn 2.68
Er (0.2500, 0.2500, 0.2500)  4 Fe 2.68
Zn (0.7500, 0.7500, 0.7500)  4 Fe 2.68

Output
energy relative to the elements = 0.27 eV/atom

***

Computed, not measured: crystalline ErGa at its relaxed geometry at the PBE-GGA level of DFT.

a = 4.6085 Å, b = 4.6085 Å, c = 4.6085 Å
α = 60.00°, β = 60.00°, γ = 60.00°
Last column: nearest neighbours and their distance in Å.
Atoms (fractional coordinates):
Er (0.0000, 0.0000, 0.0000)  4 Ga 2.82
Ga (0.2500, 0.2500, 0.2500)  4 Er 2.82

Output
raw total energy = -6.54 eV for the cell shown

***

Computed, not measured: crystalline ErGa at its relaxed geometry at the PBE-GGA level of DFT.

a = 4.0220 Å, b = 5.7994 Å, c = 5.7994 Å
α = 43.52°, β = 90.00°, γ = 90.00°
Last column: nearest neighbours and their distance in Å.
Atoms (fractional coordinates):
Er (0.0000, 0.3606, 0.3606)  7 Ga 3.02-3.17
Er (0.5000, 0.6393, 0.6393)  7 Ga 3.02-3.17
Ga (0.5000, 0.9228, 0.9228)  2 Ga 2.61
Ga (0.0000, 0.0773, 0.0773)  2 Ga 2.61

Output
raw total energy = -17.70 eV for the cell shown

***

Computed, not measured: crystalline ErGa3 at its relaxed geometry at the PBE-GGA level of DFT.

a = 4.2417 Å, b = 4.2417 Å, c = 4.2405 Å
α = 90.00°, β = 90.00°, γ = 90.00°
Last column: nearest neighbours and their distance in Å.
Atoms (fractional coordinates):
Er (0.5000, 0.5000, 0.5832)  12 Ga 3.00
Ga (0.0000, 0.0000, 0.5835)  8 Ga 3.00, 4 Er 3.00
Ga (0.0000, 0.5000, 0.0833)  8 Ga 3.00, 4 Er 3.00
Ga (0.5000, 0.0000, 0.0833)  8 Ga 3.00, 4 Er 3.00

Output
raw total energy = -15.71 eV for the cell shown

***

Computed, not measured: crystalline ErGa2 at its relaxed geometry at the PBE-GGA level of DFT.

a = 9.5281 Å, b = 9.5281 Å, c = 9.5281 Å
α = 60.00°, β = 60.00°, γ = 60.00°
Last column: nearest neighbours and their distance in Å.
Atoms (fractional coordinates):
Er (0.2500, 0.2500, 0.2500)  4 Ga 2.92
Er (0.5000, 0.5000, 0.5000)  4 Ga 2.92
Ga (0.3750, 0.3750, 0.3750)  2 Er 2.92
Ga (0.3750, 0.8750, 0.3750)  2 Er 2.92
Ga (0.8750, 0.3750, 0.3750)  2 Er 2.92
Ga (0.3750, 0.3750, 0.8750)  2 Er 2.92

Output
raw total energy = -13.29 eV for the cell shown

***

Computed, not measured: crystalline Er5Ga3 at its relaxed geometry at the PBE-GGA level of DFT.

a = 8.5096 Å, b = 8.5096 Å, c = 6.4358 Å
α = 90.00°, β = 90.00°, γ = 120.00°
Last column: nearest neighbours and their distance in Å.
Atoms (fractional coordinates):
Er (0.2419, 0.0000, 0.2500)  3 Ga 2.98-3.03
Er (0.0000, 0.7581, 0.7500)  3 Ga 2.98-3.03
Er (0.7581, 0.0000, 0.7500)  3 Ga 2.98-3.03
Er (0.0000, 0.2419, 0.2500)  3 Ga 2.98-3.03
Er (0.3334, 0.6667, 0.5000)  6 Ga 3.05, 2 Er 3.22
Er (0.2419, 0.2419, 0.7500)  3 Ga 2.98-3.03
Er (0.6666, 0.3333, 0.0000)  6 Ga 3.05, 2 Er 3.22
Er (0.6667, 0.3334, 0.5000)  6 Ga 3.05, 2 Er 3.22
Er (0.7581, 0.7581, 0.2500)  3 Ga 2.98-3.03
Er (0.3333, 0.6666, 0.0000)  6 Ga 3.05, 2 Er 3.22
Ga (0.0000, 0.4018, 0.7500)  7 Er 2.98-3.05
Ga (0.5982, 0.0000, 0.2500)  7 Er 2.98-3.05
Ga (0.4018, 0.4018, 0.2500)  7 Er 2.98-3.05
Ga (0.4018, 0.0000, 0.7500)  7 Er 2.98-3.05
Ga (0.5982, 0.5982, 0.7500)  7 Er 2.98-3.05
Ga (0.0000, 0.5982, 0.2500)  7 Er 2.98-3.05

Output
raw total energy = -71.47 eV for the cell shown

***

Computed, not measured: crystalline ErGa at its relaxed geometry at the PBE-GGA level of DFT.

a = 4.1430 Å, b = 4.1430 Å, c = 4.1430 Å
α = 60.00°, β = 60.00°, γ = 60.00°
Last column: nearest neighbours and their distance in Å.
Atoms (fractional coordinates):
Er (0.0000, 0.0000, 0.0000)  6 Ga 2.93
Ga (0.5000, 0.5000, 0.5000)  6 Er 2.93

Output
raw total energy = -8.09 eV for the cell shown

***

Computed, not measured: crystalline ErGa2 at its relaxed geometry at the PBE-GGA level of DFT.

a = 4.7147 Å, b = 4.7147 Å, c = 4.7147 Å
α = 60.00°, β = 60.00°, γ = 60.00°
Last column: nearest neighbours and their distance in Å.
Atoms (fractional coordinates):
Ga (0.2500, 0.2500, 0.2500)  4 Er 2.89
Ga (0.7500, 0.7500, 0.7500)  4 Er 2.89
Er (0.0000, 0.0000, 0.0000)  8 Ga 2.89

Output
raw total energy = -10.90 eV for the cell shown